The following is a DFT calculation (PBE) of a relaxed structure of LiCdIn2Br5.

Output
SG   No. 36
Uncorrected formation energy   -8.20 eV per formula unit

a b c (Å): 9.6875 9.6875 14.2898
angles (deg): 90.00 90.00 154.87
Closest atoms and distances in Å follow each position.
Atoms (fractional coordinates):
Li (0.0600, 0.9400, 0.5000)  4 Br 2.50-2.59
Li (0.9400, 0.0600, 0.0000)  4 Br 2.50-2.59
Cd (0.2913, 0.7087, 0.0863)  6 Br 2.80-2.87
Cd (0.7087, 0.2913, 0.5863)  6 Br 2.80-2.87
In (0.3714, 0.6286, 0.3760)  7 Br 3.21-3.56
In (0.4034, 0.5966, 0.7265)  6 Br 3.30-3.50
In (0.5966, 0.4034, 0.2265)  6 Br 3.30-3.50
In (0.6286, 0.3714, 0.8760)  7 Br 3.21-3.56
Br (0.0028, 0.9972, 0.8458)  1 Li 2.50
Br (0.1447, 0.8553, 0.0605)  1 Cd 2.80
Br (0.1923, 0.8077, 0.4526)  1 Li 2.59, 2 Cd 2.86
Br (0.2184, 0.7816, 0.7183)  2 Cd 2.83
Br (0.4429, 0.5571, 0.0996)  2 Li 2.54
Br (0.5571, 0.4429, 0.5996)  2 Li 2.54
Br (0.7816, 0.2184, 0.2183)  2 Cd 2.83
Br (0.8077, 0.1923, 0.9526)  1 Li 2.59, 2 Cd 2.86
Br (0.8553, 0.1447, 0.5605)  1 Cd 2.80
Br (0.9972, 0.0028, 0.3458)  1 Li 2.50